Entry from the Alexandria database: a geometry-optimized NbRhW3 structure (PBE).

Cell: 4.6714 4.6714 4.6714 Å, 90.00 90.00 90.00°
Closest atoms and distances in Å follow each position.
Element x y z (fractional)
Nb: 0.0000 0.0000 0.0000  12 W 3.30
Rh: 0.5000 0.5000 0.5000  6 W 2.34
W: 0.0000 0.5000 0.5000  2 Rh 2.34
W: 0.5000 0.0000 0.5000  2 Rh 2.34
W: 0.5000 0.5000 0.0000  2 Rh 2.34

Results
- calculated formation energy (meV per atom) = 1865
- ΔE to the lowest computed polymorph (eV per atom) = 0.000
- theoretical density (g cm⁻³) = 12.17